1.
A crystal of GdSi2Rh3 relaxed with PBEsol, computed with meta-GGA SCAN.

abc: 3.6530 5.4534 5.4534
angles: 120.00 90.00 90.00
Fractional coordinates of all 6 atoms:
Rh1 0.5000 0.5000 0.0000
Rh2 0.5000 0.5000 0.5000
Rh3 0.5000 0.0000 0.5000
Si1 0.0000 0.6667 0.3333
Si2 0.0000 0.3333 0.6667
Gd1 0.0000 0.0000 0.0000

Results
Uncorrected formation energy   -1131 meV/atom

***

2.
A crystal of AlTc2 relaxed with PBEsol, computed with meta-GGA SCAN.

abc: 2.9482 2.9482 5.1757
angles: 106.55 106.55 90.00
Fractional coordinates of all 3 atoms:
Al1 0.5000 0.5000 0.0000
Tc1 0.1695 0.1695 0.3390
Tc2 0.8305 0.8305 0.6610

Results
Energy of formation from the pure elements   -0.52 eV per atom

***

3.
A crystal of FeAg2PdPt relaxed with PBEsol, computed with meta-GGA SCAN.

abc: 4.8011 4.9198 4.9198
angles: 90.00 90.00 90.00
Fractional coordinates of all 5 atoms:
Pt1 0.0000 0.0000 0.0000
Ag1 0.0000 0.5000 0.0000
Ag2 0.0000 0.0000 0.5000
Pd1 0.5000 0.0000 0.0000
Fe1 0.5000 0.5000 0.5000

Results
Energy of formation from the pure elements   1.30 eV per atom